(1)
This record from Alexandria describes a PBEsol-optimized structure of La2SnTeN. The functional is SCAN.

Results
Final energy, eV per atom: -34.66

Lattice parameters (Å, degrees): 4.431 5.223 5.223 90.00 90.00 90.00
Atoms (fractional coordinates):
La 0.000 0.000 0.500
Te 0.500 0.500 0.500
N 0.000 0.000 0.000
Sn 0.500 0.000 0.000
La 0.000 0.500 0.000

***

(2)
This record from Alexandria describes a PBEsol-optimized structure of YCrCo3. The functional is SCAN.

Results
Energy relative to the elements, meV per atom: 612

Lattice parameters (Å, degrees): 4.204 4.204 4.204 90.00 90.00 90.00
Atoms (fractional coordinates):
Co 0.000 0.500 0.000
Co 0.000 0.000 0.500
Co 0.500 0.000 0.000
Cr 0.000 0.000 0.000
Y 0.500 0.500 0.500

***

(3)
This record from Alexandria describes a PBEsol-optimized structure of ReHgSe. The functional is SCAN.

Results
Relative energy among the computed polymorphs, eV per atom: 1.0692

Lattice parameters (Å, degrees): 4.362 4.362 4.362 60.00 60.00 60.00
Site moments in Bohr magnetons follow the coordinates.
Atoms (fractional coordinates):
Se 0.250 0.250 0.250  -0.12
Re 0.500 0.500 0.500  0.92
Hg 0.000 0.000 0.000  -0.02

***

(4)
This record from Alexandria describes a PBEsol-optimized structure of K2CdFe. The functional is SCAN.

Results
Energy relative to the elements, meV per atom: 448

Lattice parameters (Å, degrees): 4.523 4.523 9.023 75.47 75.47 59.95
Site moments in Bohr magnetons follow the coordinates.
Atoms (fractional coordinates):
K 0.034 0.034 0.898  -0.01
Fe 0.792 0.792 0.625  3.09
K 0.216 0.216 0.352  -0.01
Cd 0.458 0.458 0.625  -0.09

***

(5)
This record from Alexandria describes a PBEsol-optimized structure of MnZn2Ru. The functional is SCAN.

Results
Energy relative to the elements, meV per atom: -213
Relative energy among the computed polymorphs, eV per atom: 0.0083

Lattice parameters (Å, degrees): 3.746 3.746 3.759 90.00 90.00 90.00
Site moments in Bohr magnetons follow the coordinates.
Atoms (fractional coordinates):
Zn 0.000 0.500 0.000  -0.03
Mn 0.500 0.500 0.500  3.82
Ru 0.000 0.000 0.500  0.59
Zn 0.500 0.000 0.000  -0.03

***

(6)
This record from Alexandria describes a PBEsol-optimized structure of Fe4Ag. The functional is SCAN.

Results
Energy relative to the elements, meV per atom: 162

Lattice parameters (Å, degrees): 2.851 4.862 4.862 85.07 72.95 72.95
Site moments in Bohr magnetons follow the coordinates.
Atoms (fractional coordinates):
Ag 0.000 0.000 0.000  0.00
Fe 0.610 0.210 0.569  2.81
Fe 0.820 0.569 0.790  2.81
Fe 0.180 0.431 0.210  2.81
Fe 0.390 0.790 0.431  2.81

***

(7)
This record from Alexandria describes a PBEsol-optimized structure of ZnBr. The functional is SCAN.

Results
Final energy, eV per atom: -16.55

Lattice parameters (Å, degrees): 3.828 3.787 3.818 90.00 90.00 120.36
Atoms (fractional coordinates):
Zn 0.500 0.000 0.500
Br 0.000 0.000 0.000

***

(8)
This record from Alexandria describes a PBEsol-optimized structure of Te2IClO. The functional is SCAN.

Results
Final energy, eV per atom: -23.90

Lattice parameters (Å, degrees): 5.306 5.306 5.563 90.00 90.00 90.00
Site moments in Bohr magnetons follow the coordinates.
Atoms (fractional coordinates):
Te 0.500 0.000 0.000  0.36
O 0.500 0.500 0.500  1.41
I 0.000 0.000 0.500  0.17
Cl 0.000 0.000 0.000  0.01
Te 0.000 0.500 0.000  0.36

***

Q: Which spin magnetization values were calculated for the entries above? A: 0.0 0.0 1.0 2.8 4.4 10.9 0.0 3.2, in μB/cell.
Q: Which density values were calculated for the entries above? A: 7393 7102 13180 2676 9032 8926 5052 4598, in kg/m³.
Q: Which Fermi-level density of states values were calculated for the entries above? A: 0.72 1.14 0.32 0.88 0.29 0.76 0.39 1.16, in states/eV/atom.